[1]
Crystalline ZnCl2 at its relaxed geometry. Source: Alexandria via LeMat-Bulk, functional GGA-PBEsol.

a b c (Å): 6.2693 6.2693 7.1342
angles (deg): 90.84 90.84 32.33
Fractional positions:
Zn1 0.0000 0.0000 0.0000
Zn2 0.7293 0.7293 0.6848
Cl1 0.1872 0.1872 0.9361
Cl2 0.1890 0.1890 0.4834
Cl3 0.4595 0.4595 0.1844
Cl4 0.9200 0.9200 0.7132

Output
As for the density of states at the Fermi level: 0.00 states/eV/f.u. For the uncorrected formation energy, the calculation gives -1.058 eV/atom. The mass density comes out at 3019 kg/m³. The value obtained for the electronic total energy is -2.92 eV per atom. The value obtained for the total magnetization is 0.00 μB per formula unit.

=====

[2]
Crystalline CrCdSi at its relaxed geometry. Source: Alexandria via LeMat-Bulk, functional GGA-PBEsol.

a b c (Å): 5.3935 5.3935 5.3935
angles (deg): 146.88 146.88 47.54
Fractional positions:
Cr1 0.0000 0.0000 0.0000
Cd1 0.6981 0.6981 0.0000
Si1 0.4070 0.4070 0.0000

Output
As for the density of states at the Fermi level: 2.26 states/eV/f.u. For the uncorrected formation energy, the calculation gives 0.272 eV/atom. The mass density comes out at 6850 kg/m³. The value obtained for the electronic total energy is -5.46 eV per atom. The value obtained for the total magnetization is 1.80 μB per formula unit.

=====

[3]
Crystalline LiAg at its relaxed geometry. Source: Alexandria via LeMat-Bulk, functional GGA-PBEsol.

a b c (Å): 9.3999 9.3999 9.3999
angles (deg): 17.63 17.63 17.63
Fractional positions:
Li1 0.1198 0.1198 0.1198
Li2 0.8802 0.8802 0.8802
Ag1 0.3758 0.3758 0.3758
Ag2 0.6242 0.6242 0.6242

Output
As for the density of states at the Fermi level: 0.53 states/eV/f.u. As for the formation energy: -78.5 meV per atom. The mass density comes out at 5735 kg/m³. The value obtained for the electronic total energy is -2.72 eV per atom. The value obtained for the total magnetization is 0.00 μB per formula unit.

=====

[4]
Crystalline Ba2CdSn at its relaxed geometry. Source: Alexandria via LeMat-Bulk, functional GGA-PBEsol.

a b c (Å): 5.8879 5.8879 5.8879
angles (deg): 60.00 60.00 60.00
Fractional positions:
Ba1 0.2500 0.2500 0.2500
Ba2 0.7500 0.7500 0.7500
Cd1 0.0000 0.0000 0.0000
Sn1 0.5000 0.5000 0.5000

Output
As for the density of states at the Fermi level: 0.44 states/eV/f.u. As for the formation energy: -524.7 meV per atom. The mass density comes out at 5819 kg/m³. The value obtained for the electronic total energy is -2.96 eV per atom. The value obtained for the total magnetization is 0.00 μB per formula unit.

=====

> The lowest electronic total energy belongs to which entry?

CrCdSi